(1)
A relaxed CaAlTl2 crystal. Source: Alexandria, functional GGA-PBE.

Results
Density of states at the Fermi level ... 0.50 states/eV per atom

a b c (Å): 6.1556 6.1556 4.8765
angles (deg): 113.07 113.07 39.81
Closest atoms and distances in Å follow each position.
Fractional coordinates of all 4 atoms:
Ca: 0.0000 0.0000 0.0000  8 Tl 3.25-3.57, 4 Al 3.34-3.62
Al: 0.2526 0.2526 0.7541  6 Tl 3.03-3.23, 2 Ca 3.34
Tl: 0.5442 0.5442 0.5440  2 Al 3.03, 4 Ca 3.25
Tl: 0.7748 0.7748 0.2745  4 Al 3.22-3.23, 4 Ca 3.39-3.57, 4 Tl 3.43-3.53



(2)
A relaxed CaAl2Tl crystal. Source: Alexandria, functional GGA-PBE.

Results
Density of states at the Fermi level ... 0.93 states/eV per atom
E above lowest polymorph ... 108 meV/atom

a b c (Å): 5.1200 5.1200 5.1200
angles (deg): 60.00 60.00 60.00
Closest atoms and distances in Å follow each position.
Fractional coordinates of all 4 atoms:
Ca: 0.0000 0.0000 0.0000  4 Al 3.14, 4 Tl 3.14
Al: 0.5000 0.5000 0.5000  4 Al 3.14, 4 Tl 3.14
Al: 0.7500 0.7500 0.7500  4 Ca 3.14, 4 Al 3.14
Tl: 0.2500 0.2500 0.2500  4 Ca 3.14, 4 Al 3.14



(3)
A relaxed CaAlTl2 crystal. Source: Alexandria, functional GGA-PBE.

Results
Density of states at the Fermi level ... 0.57 states/eV per atom

a b c (Å): 4.7441 4.7441 4.6173
angles (deg): 90.00 90.00 90.00
Closest atoms and distances in Å follow each position.
Fractional coordinates of all 4 atoms:
Ca: 0.0000 0.0000 0.0000  8 Tl 3.31, 4 Al 3.35
Al: 0.5000 0.5000 0.0000  8 Tl 3.31, 4 Ca 3.35
Tl: 0.0000 0.5000 0.5000  4 Ca 3.31, 4 Al 3.31, 4 Tl 3.35
Tl: 0.5000 0.0000 0.5000  4 Ca 3.31, 4 Al 3.31, 4 Tl 3.35



(4)
A relaxed CaAlTl2 crystal. Source: Alexandria, functional GGA-PBE.

Results
Density of states at the Fermi level ... 0.37 states/eV per atom

a b c (Å): 3.6918 5.3384 5.5192
angles (deg): 90.00 90.08 90.00
Closest atoms and distances in Å follow each position.
Fractional coordinates of all 4 atoms:
Ca: 0.0000 0.0000 0.0000  6 Tl 3.26-3.38, 4 Al 3.36
Al: 0.4992 0.5000 0.8396  6 Tl 3.21-3.43, 4 Ca 3.36
Tl: 0.4988 0.0000 0.5128  2 Al 3.22, 4 Ca 3.26-3.38, 4 Tl 3.35
Tl: 0.9964 0.5000 0.3621  4 Al 3.21-3.43, 2 Ca 3.33, 4 Tl 3.35



So what do the calculations give for calculated volume? Going down the list: 26.88; 23.73; 25.98; 27.19 A^3/atom.
So what do the calculations give for E_form? Going down the list: -36.1; 11.7; -46.3; -28.0 kJ/mol of formula units.